Material: Tm6CoBi2
Method: DFT, GGA-PBEsol
State: optimized geometry

```
9
Lattice="-3.8004 1.1338 0.3995 0.5150 -1.1111 8.0523 1.8226 7.2491 -3.2356" Properties=species:S:1:pos:R:3 pbc="T T T"
Tm 0.1189 -0.2564 1.8583
Tm 1.7981 4.7215 3.7051
Tm 0.4206 1.6729 -0.7467
Tm -0.9906 2.9551 2.0739
Tm -0.7868 4.9954 -1.7769
Tm -1.5855 -0.1119 5.1190
Bi 1.3867 4.4623 0.5270
Bi 0.9509 1.6756 4.2897
Co -1.9002 0.5669 0.1998
```

Properties
Density of states at the Fermi level (states/eV/atom): 1.063
Calculated formation energy (meV per atom): -488
E (eV/atom): -5.566
Volume (A^3/atom): 25.4

=====

Material: Tm12Co5Bi
Method: DFT, GGA-PBEsol
State: optimized geometry

```
18
Lattice="8.0451 -0.0059 0.0010 -2.8685 7.5163 -0.0010 2.8794 3.5546 6.6180" Properties=species:S:1:pos:R:3 pbc="T T T"
Co 6.1120 1.3265 2.4772
Co 4.8125 2.2221 4.1417
Co 0.0000 0.0000 0.0000
Co 3.2342 3.3100 0.7438
Co 4.8218 7.7550 5.8742
Tm 5.3734 7.3748 2.6739
Tm 2.6826 3.6902 3.9441
Tm 7.5226 8.2609 5.4028
Tm 2.7459 6.0141 1.2152
Tm 0.5334 2.8041 1.2152
Tm 5.3101 5.0509 5.4028
Tm 7.5380 2.4673 4.5571
Tm 8.7156 5.0712 6.5225
Tm 2.6848 7.1042 4.5561
Tm 5.3712 3.9608 2.0619
Tm -0.6595 5.9938 0.0954
Tm 0.5180 8.5977 2.0609
Bi 0.0055 5.5354 3.3085
```

Properties
Density of states at the Fermi level (states/eV/atom): 0.601
Calculated formation energy (meV per atom): -325
E (eV/atom): -5.978
Volume (A^3/atom): 22.2

=====

Material: Y12Co5Bi
Method: DFT, GGA-PBEsol
State: optimized geometry

```
18
Lattice="-1.5624 6.0337 5.3443 5.3761 -5.3515 3.1413 6.8483 4.1925 1.7124" Properties=species:S:1:pos:R:3 pbc="T T T"
Co 3.6595 4.8906 3.0894
Co 1.6263 5.3356 3.9673
Co 8.5921 3.4764 6.1135
Co 2.0699 1.3983 4.0845
Co 0.0000 0.0000 0.0000
Y 7.0093 -2.1730 5.3121
Y 6.6180 7.9122 6.6441
Y 2.6560 -0.1416 1.7909
Y 8.0060 5.0163 8.4072
Y 4.2582 0.1451 5.3559
Y 4.0440 -3.0375 3.5540
Y 6.4038 4.7297 4.8421
Y 4.9126 2.5939 2.7108
Y 5.7493 2.2809 7.4872
Y 3.6527 7.0477 4.8859
Y 7.5658 1.4345 4.7720
Y 3.0962 3.4402 5.4261
Bi 6.1122 -0.5795 2.4269
```

Properties
Density of states at the Fermi level (states/eV/atom): 0.646
Calculated formation energy (meV per atom): -286
E (eV/atom): -7.221
Volume (A^3/atom): 23.6

=====

Material: ZrCoBi3
Method: DFT, GGA-PBEsol
State: optimized geometry

```
5
Lattice="5.5379 0.0000 0.0000 0.0000 5.5379 0.0000 0.0000 0.0000 5.5379" Properties=species:S:1:pos:R:3 pbc="T T T"
Bi 2.7689 0.0000 0.0000
Bi 0.0000 2.7689 0.0000
Bi 0.0000 0.0000 2.7689
Zr 0.0000 0.0000 0.0000
Co 2.7689 2.7689 2.7689
```

Properties
Density of states at the Fermi level (states/eV/atom): 1.519
Calculated formation energy (meV per atom): 1070
E (eV/atom): -4.866
Volume (A^3/atom): 34.0

=====

Material: Zr6CoBi2
Method: DFT, GGA-PBEsol
State: optimized geometry

```
9
Lattice="3.6014 0.0000 0.0000 0.0000 7.8439 0.0000 0.0000 -3.9220 6.7930" Properties=species:S:1:pos:R:3 pbc="T T T"
Zr 1.8007 -1.5423 2.6713
Zr 1.8007 3.0846 0.0000
Zr 0.0000 5.9921 0.0000
Zr 0.0000 -2.9961 5.1893
Zr 0.0000 0.9259 1.6037
Zr 1.8007 2.3797 4.1217
Bi 0.0000 3.9220 2.2643
Bi 0.0000 0.0000 4.5287
Co 1.8007 0.0000 0.0000
```

Properties
Density of states at the Fermi level (states/eV/atom): 0.835
Calculated formation energy (meV per atom): -406
E (eV/atom): -8.278
Volume (A^3/atom): 21.3

=====

Material: CsCrBi3
Method: DFT, GGA-PBEsol
State: optimized geometry

```
5
Lattice="-2.9607 5.3745 -0.0142 -2.8301 -1.5453 5.2205 4.5690 2.5255 3.2245" Properties=species:S:1:pos:R:3 pbc="T T T"
Bi 2.2845 1.2627 1.6122
Bi -1.4151 -0.7726 2.6102
Bi -1.4804 2.6872 -0.0071
Cr -0.6109 3.1774 4.2154
Cs 0.0000 0.0000 0.0000
```

Properties
Density of states at the Fermi level (states/eV/atom): 1.173
Calculated formation energy (meV per atom): 1864
E (eV/atom): -2.944
Volume (A^3/atom): 46.2

=====

Material: CsCrBi2
Method: DFT, GGA-PBEsol
State: optimized geometry

```
4
Lattice="-0.0988 1.9989 5.1832 1.2718 -3.3089 4.2784 4.7525 0.7536 2.7780" Properties=species:S:1:pos:R:3 pbc="T T T"
Cs 2.9627 -0.2782 6.1198
Bi 4.4440 -0.4173 9.1796
Bi 1.4813 -0.1391 3.0599
Cr 0.0000 0.0000 0.0000
```

Properties
Density of states at the Fermi level (states/eV/atom): 0.597
Calculated formation energy (meV per atom): 569
E (eV/atom): -4.370
Volume (A^3/atom): 30.3

=====

Material: ZrCrCu2Bi
Method: DFT, GGA-PBEsol
State: optimized geometry

```
5
Lattice="4.5117 0.0000 0.0000 0.0000 4.8564 0.0000 0.0000 0.0000 4.8564" Properties=species:S:1:pos:R:3 pbc="T T T"
Cr 2.2559 0.0000 0.0000
Bi 2.2559 2.4282 2.4282
Zr 0.0000 0.0000 0.0000
Cu 0.0000 0.0000 2.4282
Cu 0.0000 2.4282 0.0000
```

Properties
Density of states at the Fermi level (states/eV/atom): 0.870
Calculated formation energy (meV per atom): 1287
E (eV/atom): -5.170
Volume (A^3/atom): 21.3

=====

Material: CrBiF2
Method: DFT, GGA-PBEsol
State: optimized geometry

```
8
Lattice="-2.9925 -5.0087 2.0558 1.9267 0.3059 -5.7576 4.6487 -3.5811 -1.9579" Properties=species:S:1:pos:R:3 pbc="T T T"
Cr 0.8281 -4.2949 0.0489
Cr 1.3774 -1.9945 -2.8543
F -0.1267 -5.8546 -0.4872
F 1.8944 -3.2792 -4.1635
F 0.8359 -2.9392 -1.2903
F 4.5622 -4.4948 -5.3784
Bi 0.0000 0.0000 0.0000
Bi 2.2055 -6.2894 -2.8054
```

Properties
Density of states at the Fermi level (states/eV/atom): 0.522
ΔE to the lowest computed polymorph (eV per atom): 0.0000
E (eV/atom): -5.686
Formation energy (no corrections) (eV per atom): -1.09
Volume (A^3/atom): 20.2

=====

Material: CrBiF2
Method: DFT, GGA-PBEsol
State: optimized geometry

```
4
Lattice="-0.2102 -3.0930 0.8314 2.6570 -1.6558 0.7075 0.0921 0.5185 8.1477" Properties=species:S:1:pos:R:3 pbc="T T T"
Cr 0.0000 0.0000 0.0000
Bi 1.2695 -2.1151 4.8433
F 2.2742 -4.2474 3.3605
F 0.2647 0.0171 6.3262
```

Properties
Density of states at the Fermi level (states/eV/atom): 0.301
ΔE to the lowest computed polymorph (eV per atom): 0.0442
E (eV/atom): -5.642
Formation energy (no corrections) (eV per atom): -1.05
Volume (A^3/atom): 17.7

=====

Material: CrBiOF2
Method: DFT, GGA-PBEsol
State: optimized geometry

```
5
Lattice="3.9058 0.0000 0.0000 0.0000 4.1114 0.0000 0.0000 0.0000 4.1114" Properties=species:S:1:pos:R:3 pbc="T T T"
F 0.0000 2.0557 0.0000
F 0.0000 0.0000 2.0557
Cr 0.0000 0.0000 0.0000
O 1.9529 0.0000 0.0000
Bi 1.9529 2.0557 2.0557
```

Properties
Density of states at the Fermi level (states/eV/atom): 0.444
E (eV/atom): -6.159
Formation energy (no corrections) (eV per atom): -1.43
Volume (A^3/atom): 13.2

=====

Material: CrFe3Bi
Method: DFT, GGA-PBEsol
State: optimized geometry

```
5
Lattice="-1.0303 -1.7293 -4.3198 2.5053 -3.9346 0.9775 -3.9211 -2.0595 1.7597" Properties=species:S:1:pos:R:3 pbc="T T T"
Fe 1.2527 -1.9673 0.4888
Fe -1.9605 -1.0298 0.8798
Fe -0.5152 -0.8647 -2.1599
Cr -1.2230 -3.8617 -0.7913
Bi 0.0000 0.0000 0.0000
```

Properties
Density of states at the Fermi level (states/eV/atom): 1.741
Calculated formation energy (meV per atom): 2045
E (eV/atom): -6.239
Volume (A^3/atom): 21.6

=====

Material: CrGa2BiH
Method: DFT, GGA-PBEsol
State: optimized geometry

```
5
Lattice="-2.9389 -1.5833 2.4608 1.6536 -3.7760 -0.4547 2.8374 0.7745 3.8870" Properties=species:S:1:pos:R:3 pbc="T T T"
Ga -1.4694 -0.7917 1.2304
Ga 0.8268 -1.8880 -0.2274
H 0.0000 0.0000 0.0000
Cr 0.7761 -2.2925 2.9465
Bi 1.4187 0.3872 1.9435
```

Properties
Density of states at the Fermi level (states/eV/atom): 0.438
E (eV/atom): -4.429
Volume (A^3/atom): 16.8

=====

Material: K2CrGaBi
Method: DFT, GGA-PBEsol
State: optimized geometry

```
5
Lattice="5.1574 0.0000 0.0000 0.0000 6.6385 0.0000 0.0000 0.0000 6.6385" Properties=species:S:1:pos:R:3 pbc="T T T"
Ga 2.5787 3.3192 3.3192
K 0.0000 3.3192 0.0000
K 0.0000 0.0000 3.3192
Bi 0.0000 0.0000 0.0000
Cr 2.5787 0.0000 0.0000
```

Properties
Density of states at the Fermi level (states/eV/atom): 0.712
Calculated formation energy (meV per atom): 673
E (eV/atom): -3.354
Volume (A^3/atom): 45.5

=====

Material: CrSnGe2Bi
Method: DFT, GGA-PBEsol
State: optimized geometry

```
5
Lattice="4.7127 0.0000 0.0000 0.0000 4.7127 0.0000 0.0000 0.0000 5.1342" Properties=species:S:1:pos:R:3 pbc="T T T"
Ge 2.3563 0.0000 0.0000
Ge 0.0000 2.3563 0.0000
Sn 0.0000 0.0000 2.5671
Cr 0.0000 0.0000 0.0000
Bi 2.3563 2.3563 2.5671
```

Properties
Density of states at the Fermi level (states/eV/atom): 0.627
Calculated formation energy (meV per atom): 339
E (eV/atom): -5.394
Volume (A^3/atom): 22.8

=====

Material: ZnCrBi2H
Method: DFT, GGA-PBEsol
State: optimized geometry

```
5
Lattice="3.3410 0.0000 0.0000 0.0000 5.2592 0.0000 0.0000 0.0000 5.2592" Properties=species:S:1:pos:R:3 pbc="T T T"
H 0.0000 0.0000 0.0000
Zn 1.6705 2.6296 2.6296
Cr 1.6705 0.0000 0.0000
Bi 0.0000 0.0000 2.6296
Bi 0.0000 2.6296 0.0000
```

Properties
Density of states at the Fermi level (states/eV/atom): 0.475
E (eV/atom): -4.347
Volume (A^3/atom): 18.5

=====

Material: CrHgBi3
Method: DFT, GGA-PBEsol
State: optimized geometry

```
5
Lattice="-1.1202 4.9656 -0.8731 -3.6237 -0.1711 3.6762 3.5056 1.4100 3.5210" Properties=species:S:1:pos:R:3 pbc="T T T"
Bi -1.8118 -0.0855 1.8381
Bi -0.5601 2.4828 -0.4366
Bi 1.7528 0.7050 1.7605
Cr 0.0000 0.0000 0.0000
Hg -0.6192 3.1023 3.1621
```

Properties
Density of states at the Fermi level (states/eV/atom): 0.724
Calculated formation energy (meV per atom): 433
E (eV/atom): -4.301
Volume (A^3/atom): 27.6

=====

Material: CrHgBiI2
Method: DFT, GGA-PBEsol
State: optimized geometry

```
5
Lattice="5.4571 0.0000 0.0000 0.0000 6.1040 0.0000 0.0000 0.0000 6.1040" Properties=species:S:1:pos:R:3 pbc="T T T"
I 0.0000 0.0000 3.0520
I 0.0000 3.0520 0.0000
Bi 0.0000 0.0000 0.0000
Hg 2.7285 3.0520 3.0520
Cr 2.7285 0.0000 0.0000
```

Properties
Density of states at the Fermi level (states/eV/atom): 0.445
E (eV/atom): -3.245
Formation energy (no corrections) (eV per atom): 0.48
Volume (A^3/atom): 40.7

=====

Material: ZrCrHg2Bi
Method: DFT, GGA-PBEsol
State: optimized geometry

```
5
Lattice="4.9759 0.0000 0.0000 0.0000 4.9728 0.0000 0.0000 0.0000 4.9728" Properties=species:S:1:pos:R:3 pbc="T T T"
Cr 0.0000 0.0000 0.0000
Bi 2.4880 0.0000 0.0000
Zr 2.4880 2.4864 2.4864
Hg 0.0000 2.4864 0.0000
Hg 0.0000 0.0000 2.4864
```

Properties
Density of states at the Fermi level (states/eV/atom): 1.037
Calculated formation energy (meV per atom): 744
E (eV/atom): -4.206
Volume (A^3/atom): 24.6

=====

Material: CrBiTeI2
Method: DFT, GGA-PBEsol
State: optimized geometry

```
5
Lattice="-3.9809 -3.4307 0.0725 0.8909 -0.9262 5.0962 -3.4245 4.0018 1.3260" Properties=species:S:1:pos:R:3 pbc="T T T"
I 0.4455 -0.4631 2.5481
I -1.9905 -1.7153 0.0362
Cr 0.0000 0.0000 0.0000
Te -1.7123 2.0009 0.6630
Bi -3.2573 -0.1775 3.2473
```

Properties
Density of states at the Fermi level (states/eV/atom): 0.659
E (eV/atom): -4.120
Formation energy (no corrections) (eV per atom): 0.20
Volume (A^3/atom): 30.0

=====

Material: CrBiIr3
Method: DFT, GGA-PBEsol
State: optimized geometry

```
5
Lattice="4.8857 0.0000 0.0000 0.0000 4.8857 0.0000 0.0000 0.0000 4.8857" Properties=species:S:1:pos:R:3 pbc="T T T"
Bi 0.0000 0.0000 0.0000
Cr 2.4428 2.4428 2.4428
Ir 0.0000 2.4428 0.0000
Ir 2.4428 0.0000 0.0000
Ir 0.0000 0.0000 2.4428
```

Properties
Density of states at the Fermi level (states/eV/atom): 1.731
ΔE to the lowest computed polymorph (eV per atom): 1.2862
Calculated formation energy (meV per atom): 2429
E (eV/atom): -6.371
Volume (A^3/atom): 23.3

=====

Material: CrBiIr3
Method: DFT, GGA-PBEsol
State: optimized geometry

```
5
Lattice="4.5204 0.0000 0.0000 0.0000 4.5204 0.0000 0.0000 0.0000 4.5204" Properties=species:S:1:pos:R:3 pbc="T T T"
Ir 0.0000 0.0000 2.2602
Ir 2.2602 0.0000 0.0000
Ir 0.0000 2.2602 0.0000
Bi 2.2602 2.2602 2.2602
Cr 0.0000 0.0000 0.0000
```

Properties
Density of states at the Fermi level (states/eV/atom): 1.220
ΔE to the lowest computed polymorph (eV per atom): 0.0000
Calculated formation energy (meV per atom): 1142
E (eV/atom): -7.657
Volume (A^3/atom): 18.5

=====

Material: CrBi2IrRu
Method: DFT, GGA-PBEsol
State: optimized geometry

```
5
Lattice="4.2798 0.0000 0.0000 0.0000 4.9427 0.0000 0.0000 0.0000 4.9427" Properties=species:S:1:pos:R:3 pbc="T T T"
Ir 2.1399 2.4713 2.4713
Ru 2.1399 0.0000 0.0000
Bi 0.0000 2.4713 0.0000
Bi 0.0000 0.0000 2.4713
Cr 0.0000 0.0000 0.0000
```

Properties
Density of states at the Fermi level (states/eV/atom): 1.204
Calculated formation energy (meV per atom): 1366
E (eV/atom): -6.396
Volume (A^3/atom): 20.9

=====

Material: Tl2CrBiIr
Method: DFT, GGA-PBEsol
State: optimized geometry

```
5
Lattice="-4.4294 -2.2834 -1.3271 2.6207 -4.1208 -1.6570 -0.3401 -2.1829 4.8909" Properties=species:S:1:pos:R:3 pbc="T T T"
Tl -2.2147 -1.1417 -0.6636
Tl 1.3104 -2.0604 -0.8285
Bi -0.1700 -1.0914 2.4454
Cr -1.0744 -4.2935 0.9534
Ir 0.0000 0.0000 0.0000
```

Properties
Density of states at the Fermi level (states/eV/atom): 0.609
Calculated formation energy (meV per atom): 812
E (eV/atom): -5.110
Volume (A^3/atom): 28.5

=====

Material: CrBi2IrW
Method: DFT, GGA-PBEsol
State: optimized geometry

```
5
Lattice="-0.2594 2.7901 3.6655 -2.5345 -3.7061 2.6417 4.5418 -1.8650 1.7411" Properties=species:S:1:pos:R:3 pbc="T T T"
Bi -1.2673 -1.8531 1.3208
Bi 2.2709 -0.9325 0.8705
Cr -0.1297 1.3950 1.8327
W 0.8739 -1.3905 4.0241
Ir 0.0000 0.0000 0.0000
```

Properties
Density of states at the Fermi level (states/eV/atom): 0.840
Calculated formation energy (meV per atom): 1710
E (eV/atom): -6.779
Volume (A^3/atom): 25.0

=====

Material: KCr2BiW
Method: DFT, GGA-PBEsol
State: optimized geometry

```
5
Lattice="5.2716 0.0000 0.0000 0.0000 5.2716 0.0000 0.0000 0.0000 6.2441" Properties=species:S:1:pos:R:3 pbc="T T T"
W 2.6358 2.6358 3.1220
Bi 0.0000 0.0000 0.0000
K 0.0000 0.0000 3.1220
Cr 0.0000 2.6358 0.0000
Cr 2.6358 0.0000 0.0000
```

Properties
Density of states at the Fermi level (states/eV/atom): 0.770
Calculated formation energy (meV per atom): 2426
E (eV/atom): -5.516
Volume (A^3/atom): 34.7

=====

Material: LaCr3Bi
Method: DFT, GGA-PBEsol
State: optimized geometry

```
5
Lattice="-3.4322 -1.6966 2.8804 1.2934 -4.4807 -1.0981 3.0826 -0.0091 3.6678" Properties=species:S:1:pos:R:3 pbc="T T T"
Cr 0.6467 -2.2403 -0.5491
Cr 1.5413 -0.0046 1.8339
Cr -1.7161 -0.8483 1.4402
Bi 0.4718 -3.0932 2.7250
La 0.0000 0.0000 0.0000
```

Properties
Density of states at the Fermi level (states/eV/atom): 0.973
Calculated formation energy (meV per atom): 1789
E (eV/atom): -6.283
Volume (A^3/atom): 22.0